Rb2LaTiZn after structural relaxation, computed with PBE-GGA.

Uncorrected energy = -2.212 eV per atom
Total magnetic moment = 3.3 μB/cell
Density of states at the Fermi level = 9.86 states/eV/cell
ΔE_f = 995 meV per atom
Space-group type = P4/mmm (123)

a b c (Å): 6.2349 5.4920 6.2349
angles (deg): 90.00 90.00 90.00
Closest atoms and distances in Å follow each position.
Positions (direct):
Zn 0.0000 0.0000 0.0000  2 Ti 2.75
Ti 0.0000 0.5000 0.0000  2 Zn 2.75
Rb 0.0000 0.0000 0.5000  2 Zn 3.12
Rb 0.5000 0.0000 0.0000  2 Zn 3.12
La 0.5000 0.5000 0.5000  8 Rb 4.15, 4 Ti 4.41